1.
VASP calculation (PBE) on Cd2RuAu after structural relaxation.

a b c (Å): 5.1069 5.1069 5.1069
angles (deg): 131.86 131.86 70.44
Each line ends with the local moment (μB).
Sites, in units of the cell vectors:
1 Cd 0.0000 0.0000 0.0000  -0.01
2 Cd 0.2500 0.7500 0.5000  0.00
3 Ru 0.5000 0.5000 0.0000  0.79
4 Au 0.7500 0.2500 0.5000  0.03

N(E_F)   3.09 states/eV/cell
Formation enthalpy at 0 K   0.9 eV/f.u.
Offset from the most stable computed form   113.2 meV per atom

---

2.
VASP calculation (PBE) on Ca2BiRh2 after structural relaxation.

a b c (Å): 7.1589 7.1589 4.4641
angles (deg): 90.00 90.00 90.00
Sites, in units of the cell vectors:
1 Bi 0.5000 0.5000 0.0000
2 Bi 0.0000 0.0000 0.0000
3 Ca 0.6712 0.8288 0.5000
4 Ca 0.3288 0.1712 0.5000
5 Ca 0.8288 0.3288 0.5000
6 Ca 0.1712 0.6712 0.5000
7 Rh 0.3695 0.8695 0.0000
8 Rh 0.8695 0.6305 0.0000
9 Rh 0.6305 0.1305 0.0000
10 Rh 0.1305 0.3695 0.0000

N(E_F)   8.11 states/eV/cell
Formation enthalpy at 0 K   -2.2 eV/f.u.
Offset from the most stable computed form   111.2 meV per atom

---

3.
VASP calculation (PBE) on Pr6Sm12Al after structural relaxation.

a b c (Å): 8.6390 8.6390 8.6390
angles (deg): 89.15 89.15 89.15
Sites, in units of the cell vectors:
1 Pr 0.7059 0.2599 0.0932
2 Pr 0.2599 0.0932 0.7059
3 Pr 0.7401 0.9068 0.2941
4 Pr 0.9068 0.2941 0.7401
5 Pr 0.0932 0.7059 0.2599
6 Pr 0.2941 0.7401 0.9068
7 Sm 0.1778 0.3578 0.0183
8 Sm 0.8222 0.6422 0.9817
9 Sm 0.5637 0.2182 0.4651
10 Sm 0.2182 0.4651 0.5637
11 Sm 0.5349 0.4363 0.7818
12 Sm 0.7818 0.5349 0.4363
13 Sm 0.4363 0.7818 0.5349
14 Sm 0.4651 0.5637 0.2182
15 Sm 0.0183 0.1778 0.3578
16 Sm 0.9817 0.8222 0.6422
17 Sm 0.6422 0.9817 0.8222
18 Sm 0.3578 0.0183 0.1778
19 Al 0.0000 0.0000 0.0000

N(E_F)   27.91 states/eV/cell
Formation enthalpy at 0 K   1.6 eV/f.u.